Entry 1:
Entry from the Alexandria database: crystalline La2Pm3SmY6 at its relaxed geometry (GGA-PBE).

For the total energy, the calculation gives -5.6233 eV per atom. As for the crystal system: monoclinic. The value obtained for the mass density is 5.76 g cm⁻³. The value obtained for the size of the total moment is 0.00 μB/f.u. The value obtained for the formation energy is 0.011 eV/atom. The density of states at the Fermi level is 1.22 states/eV/atom.

The structure belongs to space group C2/m (No. 12); the cell edges are 6.296, 10.904 and 11.905 Å and the angles 90.00°, 100.12° and 90.00°. The distinct sites, in fractional coordinates, are La at (0.000, 0.166, 0.000), Pm at (0.000, 0.000, 0.500), Pm at (0.000, 0.333, 0.500), Sm at (0.000, 0.500, 0.000), Y at (0.249, 0.500, 0.748) and Y at (0.250, 0.166, 0.748).

---

Entry 2:
Entry from the Alexandria database: crystalline Ru3PbSe at its relaxed geometry (GGA-PBE).

For the total energy, the calculation gives -4.8386 eV per atom. As for the crystal system: cubic. As for the formation energy from raw total energies: 2.17 eV per atom. The value obtained for the mass density is 7.69 g cm⁻³. The value obtained for the size of the total moment is 5.98 μB/f.u. The density of states at the Fermi level is 1.53 states/eV/atom. The energy above the most stable polymorph in this dataset is 6.55 eV per formula unit.

The structure belongs to space group Pm-3m (No. 221); the cell edges are 5.031, 5.031 and 5.031 Å and the angles 90.00°, 90.00° and 90.00°. The distinct sites, in fractional coordinates, are Ru at (0.000, 0.000, 0.500), Pb at (0.000, 0.000, 0.000) and Se at (0.500, 0.500, 0.500).

---

Entry 3:
Entry from the Alexandria database: crystalline Na2GaPtI at its relaxed geometry (GGA-PBE).

For the total energy, the calculation gives -2.8565 eV per atom. As for the crystal system: tetragonal. As for the formation energy from raw total energies: -0.21 eV per atom. The value obtained for the mass density is 4.60 g cm⁻³. The value obtained for the size of the total moment is 0.00 μB/f.u. The density of states at the Fermi level is 0.18 states/eV/atom.

The structure belongs to space group P4/mmm (No. 123); the cell edges are 5.834, 5.834 and 4.639 Å and the angles 90.00°, 90.00° and 90.00°. The distinct sites, in fractional coordinates, are Na at (0.000, 0.500, 0.000), Ga at (0.000, 0.000, 0.000), Pt at (0.000, 0.000, 0.500) and I at (0.500, 0.500, 0.500).

---

Entry 4:
Entry from the Alexandria database: crystalline Cu4TcAs at its relaxed geometry (GGA-PBE).

For the total energy, the calculation gives -4.8636 eV per atom. As for the crystal system: cubic. The value obtained for the mass density is 8.74 g cm⁻³. The value obtained for the size of the total moment is 2.01 μB/f.u. The value obtained for the formation energy is 0.370 eV/atom. The density of states at the Fermi level is 0.86 states/eV/atom.

The structure belongs to space group F-43m (No. 216); the cell edges are 6.872, 6.872 and 6.872 Å and the angles 90.00°, 90.00° and 90.00°. The distinct sites, in fractional coordinates, are Cu at (0.125, 0.125, 0.125), Tc at (0.250, 0.250, 0.750) and As at (0.000, 0.000, 0.500).

---

Entry 5:
Entry from the Alexandria database: crystalline Sr2NbSi at its relaxed geometry (GGA-PBE).

For the total energy, the calculation gives -4.2132 eV per atom. As for the crystal system: tetragonal. As for the formation energy from raw total energies: 0.50 eV per atom. The value obtained for the mass density is 3.01 g cm⁻³. The value obtained for the size of the total moment is 3.07 μB/f.u. The density of states at the Fermi level is 0.95 states/eV/atom.

The structure belongs to space group I-42d (No. 122); the cell edges are 11.400, 11.400 and 5.027 Å and the angles 90.00°, 90.00° and 90.00°. The distinct sites, in fractional coordinates, are Sr at (0.089, 0.750, 0.125), Nb at (0.000, 0.000, 0.500) and Si at (0.000, 0.000, 0.000).

---

Entry 6:
Entry from the Alexandria database: crystalline MgH6Pt at its relaxed geometry (GGA-PBE).

For the total energy, the calculation gives -3.6177 eV per atom. As for the crystal system: monoclinic. The value obtained for the mass density is 4.53 g cm⁻³. The value obtained for the size of the total moment is 0.00 μB/f.u. The density of states at the Fermi level is 0.00 states/eV/atom.

The structure belongs to space group C2/m (No. 12); the cell edges are 5.600, 7.409 and 4.681 Å and the angles 90.00°, 121.73° and 90.00°. The distinct sites, in fractional coordinates, are Mg at (0.000, 0.000, 0.000), H at (0.130, 0.339, 0.788), H at (0.220, 0.000, 0.533) and Pt at (0.000, 0.500, 0.500).

---

Entry 7:
Entry from the Alexandria database: crystalline SmAlHg2 at its relaxed geometry (GGA-PBE).

For the total energy, the calculation gives -2.6046 eV per atom. As for the crystal system: orthorhombic. The value obtained for the mass density is 10.14 g cm⁻³. The value obtained for the size of the total moment is 0.00 μB/f.u. The value obtained for the formation energy is -0.338 eV/atom. The density of states at the Fermi level is 0.50 states/eV/atom.

The structure belongs to space group Cmcm (No. 63); the cell edges are 4.536, 17.439 and 9.581 Å and the angles 90.00°, 90.00° and 90.00°. The distinct sites, in fractional coordinates, are Sm at (0.000, 0.000, 0.000), Sm at (0.000, 0.201, 0.250), Al at (0.000, 0.357, 0.525), Hg at (0.000, 0.194, 0.594), Hg at (0.000, 0.402, 0.250) and Hg at (0.000, 0.440, 0.750).

---

Entry 8:
Entry from the Alexandria database: crystalline InAg2Pb at its relaxed geometry (GGA-PBE).

For the total energy, the calculation gives -2.9644 eV per atom. As for the crystal system: monoclinic. The value obtained for the mass density is 9.54 g cm⁻³. The value obtained for the size of the total moment is 0.00 μB/f.u. The value obtained for the formation energy is 0.073 eV/atom. The density of states at the Fermi level is 0.34 states/eV/atom.

The structure belongs to space group C2/m (No. 12); the cell edges are 9.376, 3.347 and 6.087 Å and the angles 90.00°, 101.36° and 90.00°. The distinct sites, in fractional coordinates, are In at (0.000, 0.000, 0.000), Ag at (0.245, 0.500, 0.212) and Pb at (0.000, 0.500, 0.500).

---

> Which of these has the lowest total energy?

La2Pm3SmY6

---

> What is the mass density in the fourth record?

8.74 g cm⁻³

---

> Look up the mass density of the seventh one.

10.14 g cm⁻³